In3HgTe: single point on PBEsol structure, meta-GGA SCAN.

Computed properties:
The mass density comes out at 5949 kg/m3. Its volume is 37.55 Å³/atom. Its formation energy from raw total energies is 0.51 eV per atom. As for the spin magnetization: 0.00 μB/cell. The density of states at the Fermi level comes out at 3.8 states/eV/cell.

abc: 5.7263 5.7263 5.7263
angles: 90.00 90.00 90.00
Closest atoms and distances in Å follow each position.
Fractional coordinates of all 5 atoms:
1 In 0.0000 0.5000 0.0000  2 Te 2.86
2 In 0.5000 0.0000 0.0000  2 Te 2.86
3 In 0.0000 0.0000 0.5000  2 Te 2.86
4 Hg 0.5000 0.5000 0.5000  12 In 4.05
5 Te 0.0000 0.0000 0.0000  6 In 2.86